Entry 1:
## Ba2YOsO6 (GGA-PBE)

Data for a geometry-optimized Ba2YOsO6 structure.

Volume: 15.18 A^3/atom
Formation energy (no corrections): -2.45 eV per atom

a b c (Å): 8.4671 8.4671 8.4671
angles (deg): 90.00 90.00 90.00
Last column: nearest neighbours and their distance in Å.
Space group Fm-3m (No. 225)
One atom of each set of equivalent atoms:
Ba 0.2500 0.2500 0.2500  12 O 3.00
Y 0.0000 0.0000 0.0000  6 O 2.24
Os 0.0000 0.0000 0.5000  6 O 1.99
O 0.0000 0.0000 0.2650  1 Os 1.99

Entry 2:
## Ba2YOs3O12 (GGA-PBE)

Data for a geometry-optimized Ba2YOs3O12 structure.

Volume: 15.18 A^3/atom
Formation energy (no corrections): -1.76 eV per atom

a b c (Å): 7.3133 7.3133 17.7019
angles (deg): 90.00 90.00 120.00
Last column: nearest neighbours and their distance in Å.
Space group R-3m (No. 166, hexagonal axes)
One atom of each set of equivalent atoms:
Ba 0.0000 0.0000 0.1346  3 O 2.65
Y 0.0000 0.0000 0.5000  6 O 2.31
Os 0.0000 0.5000 0.0000  6 O 1.91-1.95
O 0.0041 0.5020 0.1103  1 Os 1.95
O 0.0804 0.5402 0.3339  2 Os 1.91

Entry 3:
## Ba3ZnOs2O9 (GGA-PBE)

Data for a geometry-optimized Ba3ZnOs2O9 structure.

Volume: 13.56 A^3/atom
Formation energy (no corrections): -1.82 eV per atom

a b c (Å): 5.7657 5.7657 7.0655
angles (deg): 90.00 90.00 120.00
Last column: nearest neighbours and their distance in Å.
Space group P-3m1 (No. 164)
One atom of each set of equivalent atoms:
Ba 0.0000 0.0000 0.0000  12 O 2.86-2.88
Ba 0.3333 0.6667 0.6535  12 O 2.84-2.96
Zn 0.0000 0.0000 0.5000  6 O 2.15
Os 0.3333 0.6667 0.1581  6 O 1.97-2.00
O 0.0000 0.5000 0.0000  2 Os 2.00
O 0.1738 0.3477 0.3215  1 Os 1.97, 1 Zn 2.15